No. 1
# Tb2Dy4Y, optimized geometry, DFT GGA-PBE
# - N(E_F) (states/eV/atom) = 1.61
# - energy relative to the lowest polymorph listed for this composition (eV/atom) = 0.000
# - E_form (eV per atom) = 0.040
data_Tb2Dy4Y
_chemical_formula_sum 'Tb4 Dy8 Y2'
_cell_length_a 16.7469
_cell_length_b 3.5318
_cell_length_c 8.7182
_cell_angle_alpha 90.00
_cell_angle_beta 119.74
_cell_angle_gamma 90.00
_symmetry_space_group_name_H-M 'P 1'
_symmetry_Int_Tables_number 1
loop_
_symmetry_equiv_pos_as_xyz
'x,y,z'
loop_
_atom_site_label
_atom_site_fract_x
_atom_site_fract_y
_atom_site_fract_z
_atom_site_occupancy
Tb1 0.0701 0.0000 0.4304 1
Tb2 0.4299 0.5000 0.5696 1
Tb3 0.5701 0.5000 0.4304 1
Tb4 0.9299 0.0000 0.5696 1
Dy1 0.1422 0.5000 0.8373 1
Dy2 0.2046 0.5000 0.2945 1
Dy3 0.2954 0.0000 0.7055 1
Dy4 0.3578 0.0000 0.1627 1
Dy5 0.6422 0.0000 0.8373 1
Dy6 0.7046 0.0000 0.2945 1
Dy7 0.7954 0.5000 0.7055 1
Dy8 0.8578 0.5000 0.1627 1
Y1 0.0000 0.0000 0.0000 1
Y2 0.5000 0.5000 0.0000 1

No. 2
# BAsO4, optimized geometry, DFT GGA-PBE
# - N(E_F) (states/eV/atom) = 0.00
# - energy relative to the lowest polymorph listed for this composition (eV/atom) = 0.047
# - ΔE_f (raw) (eV/atom) = -1.618
data_BAsO4
_chemical_formula_sum 'B3 As3 O12'
_cell_length_a 4.6367
_cell_length_b 4.6367
_cell_length_c 10.5208
_cell_angle_alpha 90.00
_cell_angle_beta 90.00
_cell_angle_gamma 120.00
_symmetry_space_group_name_H-M 'P 1'
_symmetry_Int_Tables_number 1
loop_
_symmetry_equiv_pos_as_xyz
'x,y,z'
loop_
_atom_site_label
_atom_site_fract_x
_atom_site_fract_y
_atom_site_fract_z
_atom_site_occupancy
B1 0.0000 0.5366 0.1667 1
B2 0.4634 0.4634 0.5000 1
B3 0.5366 0.0000 0.8333 1
As1 0.0000 0.5410 0.6667 1
As2 0.4590 0.4590 0.0000 1
As3 0.5410 0.0000 0.3333 1
O1 0.0855 0.3945 0.0565 1
O2 0.1303 0.4042 0.5387 1
O3 0.2739 0.8697 0.2054 1
O4 0.3090 0.9145 0.7232 1
O5 0.3945 0.0855 0.9435 1
O6 0.4042 0.1303 0.4613 1
O7 0.5958 0.7261 0.8720 1
O8 0.6055 0.6910 0.3898 1
O9 0.6910 0.6055 0.6102 1
O10 0.7261 0.5958 0.1280 1
O11 0.8697 0.2739 0.7946 1
O12 0.9145 0.3090 0.2768 1

No. 3
# EuTe2Ir, optimized geometry, DFT GGA-PBE
# - N(E_F) (states/eV/atom) = 2.50
# - ΔE_f (raw) (eV/atom) = -0.311
data_EuTe2Ir
_chemical_formula_sum 'Eu3 Te6 Ir3'
_cell_length_a 4.0514
_cell_length_b 4.0514
_cell_length_c 27.4688
_cell_angle_alpha 90.00
_cell_angle_beta 90.00
_cell_angle_gamma 120.00
_symmetry_space_group_name_H-M 'P 1'
_symmetry_Int_Tables_number 1
loop_
_symmetry_equiv_pos_as_xyz
'x,y,z'
loop_
_atom_site_label
_atom_site_fract_x
_atom_site_fract_y
_atom_site_fract_z
_atom_site_occupancy
Eu1 0.0000 0.0000 0.0000 1
Eu2 0.3333 0.6667 0.6667 1
Eu3 0.6667 0.3333 0.3333 1
Te1 0.0000 0.0000 0.1183 1
Te2 0.0000 0.0000 0.8817 1
Te3 0.3333 0.6667 0.5484 1
Te4 0.3333 0.6667 0.7850 1
Te5 0.6667 0.3333 0.2150 1
Te6 0.6667 0.3333 0.4516 1
Ir1 0.0000 0.0000 0.5000 1
Ir2 0.3333 0.6667 0.1667 1
Ir3 0.6667 0.3333 0.8333 1

Number 1: density 7.84 g cm⁻³. Number 2: density 3.81 g cm⁻³. Number 3: density 7.65 g cm⁻³.